[1]
First-principles (PBE-GGA) data for a relaxed structure of Pm4Ag2HgPd, as listed in Alexandria.

Cell and atoms, written as POSCAR:
```
Pm4Ag2HgPd
1.0
5.262 0.000 0.000
2.631 4.557 0.000
2.631 1.519 8.554
Pm Ag Hg Pd
4 2 1 1
Direct
0.380 0.380 0.859
0.871 0.871 0.388
0.129 0.129 0.612
0.620 0.620 0.141
0.745 0.745 0.765
0.255 0.255 0.235
0.000 0.000 0.000
0.500 0.500 0.500
```

Computed properties:
E_form: -0.45 eV per atom
crystal system: trigonal
Fermi-level density of states: 6.95 states/eV per cell


[2]
First-principles (PBE-GGA) data for a relaxed structure of Pr4AgHg2Pd, as listed in Alexandria.

Cell and atoms, written as POSCAR:
```
Pr4AgHg2Pd
1.0
5.373 0.000 0.000
2.687 4.653 0.000
2.687 1.551 8.718
Pr Ag Hg Pd
4 1 2 1
Direct
0.380 0.380 0.861
0.871 0.871 0.386
0.129 0.129 0.614
0.620 0.620 0.139
0.000 0.000 0.000
0.745 0.745 0.766
0.255 0.255 0.234
0.500 0.500 0.500
```

Computed properties:
E_form: -0.46 eV per atom
crystal system: trigonal
Fermi-level density of states: 7.71 states/eV per cell


[3]
First-principles (PBE-GGA) data for a relaxed structure of Pr2Ag2HgPd5, as listed in Alexandria.

Cell and atoms, written as POSCAR:
```
Pr2Ag2HgPd5
1.0
4.141 0.000 0.000
0.000 9.832 0.000
0.000 0.000 9.832
Pr Ag Hg Pd
4 4 2 10
Direct
0.000 0.677 0.177
0.000 0.323 0.823
0.000 0.177 0.323
0.000 0.823 0.677
0.000 0.121 0.621
0.000 0.879 0.379
0.000 0.621 0.879
0.000 0.379 0.121
0.000 0.000 0.000
0.000 0.500 0.500
0.500 0.202 0.064
0.500 0.798 0.936
0.500 0.064 0.798
0.500 0.702 0.436
0.500 0.936 0.202
0.500 0.298 0.564
0.500 0.564 0.702
0.500 0.436 0.298
0.500 0.500 0.000
0.500 0.000 0.500
```

Computed properties:
E_form: -0.44 eV per atom
crystal system: tetragonal
Fermi-level density of states: 7.60 states/eV per cell


[4]
First-principles (PBE-GGA) data for a relaxed structure of AgHgPdPt, as listed in Alexandria.

Cell and atoms, written as POSCAR:
```
AgHgPdPt
1.0
4.611 0.000 0.000
2.306 3.994 0.000
2.306 1.331 3.765
Ag Pd Hg Pt
1 1 1 1
Direct
0.500 0.500 0.500
0.250 0.250 0.250
0.000 0.000 0.000
0.750 0.750 0.750
```

Computed properties:
E_form: -0.04 eV per atom
crystal system: cubic
Fermi-level density of states: 1.27 states/eV per cell